! PaCd2Bi, relaxed, DFT GGA-PBE; values from VASP
&SYSTEM
  ibrav = 0, nat = 4, ntyp = 3
/
ATOMIC_SPECIES
Pa 231.04 Pa.upf
Cd 112.41 Cd.upf
Bi 208.98 Bi.upf
CELL_PARAMETERS angstrom
1.6246 0.9380 12.1429
-1.6246 0.9380 12.1429
0.0000 -1.8760 12.1429
ATOMIC_POSITIONS crystal
Pa 0.0000 0.0000 0.0000
Cd 0.0878 0.0878 0.0878
Cd 0.9122 0.9122 0.9122
Bi 0.5000 0.5000 0.5000
! ΔH_f (0 K)   0.352 eV per atom
! V   111.0 Å³ per cell
! Symmetry   R-3m



! Sc2MnBPb, relaxed, DFT GGA-PBE; values from VASP
&SYSTEM
  ibrav = 0, nat = 5, ntyp = 4
/
ATOMIC_SPECIES
Sc 44.96 Sc.upf
Mn 54.94 Mn.upf
B 10.81 B.upf
Pb 207.20 Pb.upf
CELL_PARAMETERS angstrom
4.6809 0.0000 0.0000
0.0000 4.6809 0.0000
0.0000 0.0000 4.1747
ATOMIC_POSITIONS crystal
Sc 0.0000 0.5000 0.0000
Sc 0.5000 0.0000 0.0000
Mn 0.0000 0.0000 0.5000
B 0.0000 0.0000 0.0000
Pb 0.5000 0.5000 0.5000
! ΔH_f (0 K)   -0.277 eV per atom
! V   91.5 Å³ per cell
! Symmetry   P4/mmm



! RbTl2Hg4Pb, relaxed, DFT GGA-PBE; values from VASP
&SYSTEM
  ibrav = 0, nat = 8, ntyp = 4
/
ATOMIC_SPECIES
Rb 85.47 Rb.upf
Tl 204.38 Tl.upf
Hg 200.59 Hg.upf
Pb 207.20 Pb.upf
CELL_PARAMETERS angstrom
2.6517 1.5310 10.9481
-2.6517 1.5310 10.9481
0.0000 -3.0619 10.9481
ATOMIC_POSITIONS crystal
Rb 0.0000 0.0000 0.0000
Tl 0.2342 0.2342 0.2342
Tl 0.7658 0.7658 0.7658
Hg 0.1303 0.1303 0.1303
Hg 0.3952 0.3952 0.3952
Hg 0.6048 0.6048 0.6048
Hg 0.8697 0.8697 0.8697
Pb 0.5000 0.5000 0.5000
! ΔH_f (0 K)   -0.104 eV per atom
! V   266.7 Å³ per cell
! Symmetry   R-3m



! W2ICl, relaxed, DFT GGA-PBE; values from VASP
&SYSTEM
  ibrav = 0, nat = 8, ntyp = 3
/
ATOMIC_SPECIES
W 183.84 W.upf
I 126.90 I.upf
Cl 35.45 Cl.upf
CELL_PARAMETERS angstrom
-2.2180 2.2180 8.3791
2.2180 -2.2180 8.3791
2.2180 2.2180 -8.3791
ATOMIC_POSITIONS crystal
W 0.0424 0.6250 0.9174
W 0.3750 0.2924 0.4174
W 0.7076 0.1250 0.0826
W 0.8750 0.9576 0.5826
I 0.2500 0.7500 0.5000
I 0.5000 0.5000 0.0000
Cl 0.0000 0.0000 0.0000
Cl 0.7500 0.2500 0.5000
! Energy relative to the elements, uncorrected   1.09 eV per atom
! V   164.9 Å³ per cell
! Symmetry   I-42d



! K4PaSe4, relaxed, DFT GGA-PBE; values from VASP
&SYSTEM
  ibrav = 0, nat = 9, ntyp = 3
/
ATOMIC_SPECIES
K 39.10 K.upf
Pa 231.04 Pa.upf
Se 78.96 Se.upf
CELL_PARAMETERS angstrom
-3.9636 3.9636 6.8205
3.9636 -3.9636 6.8205
3.9636 3.9636 -6.8205
ATOMIC_POSITIONS crystal
K 0.0000 0.5000 0.5000
K 0.2009 0.2009 0.0000
K 0.5000 0.0000 0.5000
K 0.7991 0.7991 0.0000
Pa 0.5000 0.5000 0.0000
Se 0.1860 0.5854 0.0000
Se 0.4146 0.4146 0.6006
Se 0.5854 0.1860 0.0000
Se 0.8140 0.8140 0.3994
! Energy relative to the elements, uncorrected   -1.15 eV per atom
! V   428.6 Å³ per cell
! Symmetry   I-42m



! CaZrNi2, relaxed, DFT GGA-PBE; values from VASP
&SYSTEM
  ibrav = 0, nat = 4, ntyp = 3
/
ATOMIC_SPECIES
Ca 40.08 Ca.upf
Zr 91.22 Zr.upf
Ni 58.69 Ni.upf
CELL_PARAMETERS angstrom
3.2799 0.0000 0.0000
0.0000 3.3100 0.0000
0.0000 0.0000 6.8875
ATOMIC_POSITIONS crystal
Ca 0.0000 0.0000 0.0000
Zr 0.0000 0.0000 0.5000
Ni 0.5000 0.5000 0.3048
Ni 0.5000 0.5000 0.6952
! ΔH_f (0 K)   -0.274 eV per atom
! V   74.8 Å³ per cell
! Symmetry   Pmmm



! ZrZn22, relaxed, DFT GGA-PBE; values from VASP
&SYSTEM
  ibrav = 0, nat = 46, ntyp = 2
/
ATOMIC_SPECIES
Zr 91.22 Zr.upf
Zn 65.41 Zn.upf
CELL_PARAMETERS angstrom
0.0000 7.0640 7.0640
7.0640 0.0000 7.0640
7.0640 7.0640 0.0000
ATOMIC_POSITIONS crystal
Zr 0.1250 0.1250 0.1250
Zr 0.8750 0.8750 0.8750
Zn 0.0000 0.0000 0.0000
Zn 0.0000 0.0000 0.5000
Zn 0.0000 0.5000 0.0000
Zn 0.0000 0.5000 0.5000
Zn 0.0578 0.3193 0.3193
Zn 0.0578 0.3193 0.8035
Zn 0.0578 0.8035 0.3193
Zn 0.1965 0.6807 0.6807
Zn 0.1965 0.6807 0.9422
Zn 0.1965 0.9422 0.6807
Zn 0.2362 0.2362 0.5138
Zn 0.2362 0.5138 0.2362
Zn 0.2362 0.5138 0.5138
Zn 0.3193 0.0578 0.3193
Zn 0.3193 0.0578 0.8035
Zn 0.3193 0.3193 0.0578
Zn 0.3193 0.3193 0.8035
Zn 0.3193 0.8035 0.0578
Zn 0.3193 0.8035 0.3193
Zn 0.4862 0.4862 0.7638
Zn 0.4862 0.7638 0.4862
Zn 0.4862 0.7638 0.7638
Zn 0.5000 0.0000 0.0000
Zn 0.5000 0.0000 0.5000
Zn 0.5000 0.5000 0.0000
Zn 0.5000 0.5000 0.5000
Zn 0.5138 0.2362 0.2362
Zn 0.5138 0.2362 0.5138
Zn 0.5138 0.5138 0.2362
Zn 0.6807 0.1965 0.6807
Zn 0.6807 0.1965 0.9422
Zn 0.6807 0.6807 0.1965
Zn 0.6807 0.6807 0.9422
Zn 0.6807 0.9422 0.1965
Zn 0.6807 0.9422 0.6807
Zn 0.7638 0.4862 0.4862
Zn 0.7638 0.4862 0.7638
Zn 0.7638 0.7638 0.4862
Zn 0.8035 0.0578 0.3193
Zn 0.8035 0.3193 0.0578
Zn 0.8035 0.3193 0.3193
Zn 0.9422 0.1965 0.6807
Zn 0.9422 0.6807 0.1965
Zn 0.9422 0.6807 0.6807
! ΔH_f (0 K)   -0.057 eV per atom
! V   705.0 Å³ per cell
! Symmetry   Fd-3m



! TbPm3Y7, relaxed, DFT GGA-PBE; values from VASP
&SYSTEM
  ibrav = 0, nat = 11, ntyp = 3
/
ATOMIC_SPECIES
Tb 158.93 Tb.upf
Pm 145.00 Pm.upf
Y 88.91 Y.upf
CELL_PARAMETERS angstrom
6.9494 0.0000 0.0000
0.0000 5.5620 0.0000
-3.3257 0.0000 9.5417
ATOMIC_POSITIONS crystal
Tb 0.0000 0.0000 0.0000
Pm 0.2192 0.5000 0.5037
Pm 0.5000 0.0000 0.0000
Pm 0.7808 0.5000 0.4963
Y 0.0768 0.0000 0.6708
Y 0.1819 0.5000 0.8647
Y 0.3515 0.5000 0.2124
Y 0.5000 0.0000 0.5000
Y 0.6485 0.5000 0.7876
Y 0.8181 0.5000 0.1353
Y 0.9232 0.0000 0.3292
! ΔH_f (0 K)   0.141 eV per atom
! V   368.8 Å³ per cell
! Symmetry   P2/m



! MgRuPt, relaxed, DFT GGA-PBE; values from VASP
&SYSTEM
  ibrav = 0, nat = 3, ntyp = 3
/
ATOMIC_SPECIES
Mg 24.30 Mg.upf
Ru 101.07 Ru.upf
Pt 195.08 Pt.upf
CELL_PARAMETERS angstrom
-1.3861 1.3861 6.0325
1.3861 -1.3861 6.0325
1.3861 1.3861 -6.0325
ATOMIC_POSITIONS crystal
Mg 0.0000 0.0000 0.0000
Ru 0.6723 0.6723 0.0000
Pt 0.3295 0.3295 0.0000
! ΔH_f (0 K)   -0.187 eV per atom
! V   46.4 Å³ per cell
! Symmetry   I4mm



! SrCuSi2, relaxed, DFT GGA-PBE; values from VASP
&SYSTEM
  ibrav = 0, nat = 4, ntyp = 3
/
ATOMIC_SPECIES
Sr 87.62 Sr.upf
Cu 63.55 Cu.upf
Si 28.09 Si.upf
CELL_PARAMETERS angstrom
3.9981 0.0000 0.0000
0.0000 4.0592 0.0000
-1.0936 0.0000 5.3556
ATOMIC_POSITIONS crystal
Sr 0.0000 0.0000 0.0000
Cu 0.5000 0.0000 0.5000
Si 0.2901 0.5000 0.6370
Si 0.7099 0.5000 0.3630
! Energy relative to the elements, uncorrected   -0.20 eV per atom
! V   86.9 Å³ per cell
! Symmetry   P2/m



! In2TcSb, relaxed, DFT GGA-PBE; values from VASP
&SYSTEM
  ibrav = 0, nat = 4, ntyp = 3
/
ATOMIC_SPECIES
In 114.82 In.upf
Tc 98.00 Tc.upf
Sb 121.76 Sb.upf
CELL_PARAMETERS angstrom
-2.2109 2.2109 4.2984
2.2109 -2.2109 4.2984
2.2109 2.2109 -4.2984
ATOMIC_POSITIONS crystal
In 0.0000 0.0000 0.0000
In 0.7500 0.2500 0.5000
Tc 0.5000 0.5000 0.0000
Sb 0.2500 0.7500 0.5000
! Energy relative to the elements, uncorrected   0.47 eV per atom
! V   84.0 Å³ per cell
! Symmetry   I-4m2



! Er5Al2Ga, relaxed, DFT GGA-PBE; values from VASP
&SYSTEM
  ibrav = 0, nat = 16, ntyp = 3
/
ATOMIC_SPECIES
Er 167.26 Er.upf
Al 26.98 Al.upf
Ga 69.72 Ga.upf
CELL_PARAMETERS angstrom
-3.8228 3.8228 7.0532
3.8228 -3.8228 7.0532
3.8228 3.8228 -7.0532
ATOMIC_POSITIONS crystal
Er 0.0000 0.0000 0.0000
Er 0.0188 0.5188 0.8374
Er 0.1813 0.0188 0.5000
Er 0.3187 0.8187 0.8374
Er 0.4812 0.3187 0.5000
Er 0.5000 0.5000 0.0000
Er 0.5188 0.6813 0.5000
Er 0.6813 0.1813 0.1626
Er 0.8187 0.9812 0.5000
Er 0.9812 0.4812 0.1626
Al 0.1219 0.3781 0.5000
Al 0.3781 0.8781 0.2562
Al 0.6219 0.1219 0.7438
Al 0.8781 0.6219 0.5000
Ga 0.2500 0.2500 0.0000
Ga 0.7500 0.7500 0.0000
! ΔH_f (0 K)   -0.352 eV per atom
! V   412.3 Å³ per cell
! Symmetry   I4/mcm



What is the V in the third record?
266.7 Å³ per cell



Please write out number 6 again, unchanged.
! CaZrNi2, relaxed, DFT GGA-PBE; values from VASP
&SYSTEM
  ibrav = 0, nat = 4, ntyp = 3
/
ATOMIC_SPECIES
Ca 40.08 Ca.upf
Zr 91.22 Zr.upf
Ni 58.69 Ni.upf
CELL_PARAMETERS angstrom
3.2799 0.0000 0.0000
0.0000 3.3100 0.0000
0.0000 0.0000 6.8875
ATOMIC_POSITIONS crystal
Ca 0.0000 0.0000 0.0000
Zr 0.0000 0.0000 0.5000
Ni 0.5000 0.5000 0.3048
Ni 0.5000 0.5000 0.6952
! ΔH_f (0 K)   -0.274 eV per atom
! V   74.8 Å³ per cell
! Symmetry   Pmmm



The lowest V belongs to which entry?
MgRuPt